{
  "formula": "RbGa3Os",
  "functional": "GGA-PBE",
  "state": "optimized geometry",
  "e_tot_ev_per_cell": -22.35,
  "spacegroup": "No. 221",
  "mass_density_g_cm3": 6.78,
  "cell": [[4.915, 0.000, 0.000], [0.000, 4.915, 0.000], [0.000, 0.000, 4.915]],
  "species": ["Rb", "Ga", "Ga", "Ga", "Os"],
  "frac_coords": [[0.000, 0.000, 0.000], [0.000, 0.500, 0.500], [0.500, 0.000, 0.500], [0.500, 0.500, 0.000], [0.500, 0.500, 0.500]]
}

{
  "formula": "RbGa2Os2",
  "functional": "GGA-PBE",
  "state": "optimized geometry",
  "e_tot_ev_per_cell": -20.21,
  "spacegroup": "No. 139",
  "mass_density_g_cm3": 8.16,
  "cell": [[-2.680, 2.680, 4.290], [2.680, -2.680, 4.290], [2.680, 2.680, -4.290]],
  "species": ["Rb", "Ga", "Ga", "Os", "Os"],
  "frac_coords": [[0.000, 0.000, 0.000], [0.000, 0.500, 0.500], [0.500, 0.000, 0.500], [0.372, 0.372, 0.000], [0.628, 0.628, 0.000]]
}